No. 1
Crystalline KMgV at its relaxed geometry, computed with GGA-PBE.

Cell lengths 5.4718, 5.4718, 7.8516 Å; angles 90.00, 90.00, 120.00 degrees
Last column: nearest neighbours and their distance in Å.
Sites, in units of the cell vectors:
K 0.0000 0.0000 0.0000  6 V 3.29, 6 Mg 3.48
K 0.0000 0.0000 0.5000  2 K 3.93, 6 Mg 4.01, 6 V 4.37
Mg 0.6667 0.3333 0.1849  1 Mg 2.90, 3 V 3.21
Mg 0.6667 0.3333 0.8151  1 Mg 2.90, 3 V 3.21
V 0.3333 0.6667 0.1158  1 V 1.82
V 0.3333 0.6667 0.8842  1 V 1.82

Values from the calculation:
Formation enthalpy at 0 K in eV/atom: 0.868
Calculated total energy in eV/atom: -3.07

---

No. 2
Crystalline KMgV3 at its relaxed geometry, computed with GGA-PBE.

Cell lengths 4.3704, 4.3704, 4.3704 Å; angles 90.00, 90.00, 90.00 degrees
Last column: nearest neighbours and their distance in Å.
Sites, in units of the cell vectors:
K 0.0000 0.0000 0.0000  6 V 2.19
Mg 0.5000 0.5000 0.5000  12 V 3.09
V 0.0000 0.0000 0.5000  2 K 2.19
V 0.0000 0.5000 0.0000  2 K 2.19
V 0.5000 0.0000 0.0000  2 K 2.19

Values from the calculation:
Formation enthalpy at 0 K in eV/atom: 2.308
Calculated total energy in eV/atom: -3.70

---

No. 3
Crystalline KMgV at its relaxed geometry, computed with GGA-PBE.

Cell lengths 3.0568, 4.9391, 12.4357 Å; angles 90.00, 96.43, 90.00 degrees
Last column: nearest neighbours and their distance in Å.
Sites, in units of the cell vectors:
K 0.0000 0.0000 0.0000  2 K 3.06
K 0.1920 0.0000 0.4209  2 K 3.06
Mg 0.5878 0.5000 0.2103  2 Mg 3.06
Mg 0.5908 0.0000 0.7103  4 V 2.84-2.85, 2 Mg 3.06
V 0.2580 0.5000 0.7800  1 V 1.88
V 0.9333 0.5000 0.6423  1 V 1.88

Values from the calculation:
Formation enthalpy at 0 K in eV/atom: 0.605
Calculated total energy in eV/atom: -3.33